Entry 1:
# AlSbRh2

An optimized crystal structure of AlSbRh2 (PBE, Alexandria via LeMat-Bulk).

Calculated values
Calculated total energy in eV/cell: -24.73
Uncorrected formation energy in kJ per mole of atoms: -52
Fermi-level density of states in states/eV/cell: 3.22
Total magnetic moment in μB/atom: 0.0000

Cell: 3.0801 3.0753 7.4056 Å, 65.41 90.00 90.00°
With the nearest neighbours (Å) after each atom.
Fractional positions:
Sb  0.5000  0.2500  0.2500  8 Rh 2.88-2.89, 4 Sb 3.08
Rh  0.0000  0.0298  0.9692  4 Al 2.63, 4 Sb 2.88-2.89
Rh  0.0000  0.4702  0.5308  4 Al 2.63, 4 Sb 2.88-2.89
Al  0.5000  0.7500  0.7500  8 Rh 2.63



Entry 2:
# TiZn

An optimized crystal structure of TiZn (PBE, Alexandria via LeMat-Bulk).

Calculated values
Calculated total energy in eV/cell: -14.96
DFT formation energy in eV/atom: 0.84
Fermi-level density of states in states/eV/cell: 5.85
Total magnetic moment in μB/atom: 0.8709

Cell: 4.4689 4.4689 5.2117 Å, 90.00 90.00 120.00°
With the nearest neighbours (Å) after each atom.
Fractional positions:
Ti  0.3333  0.6667  0.2500  5 Zn 2.58-2.61
Ti  0.6667  0.3333  0.7500  5 Zn 2.58-2.61
Zn  0.3333  0.6667  0.7500  5 Ti 2.58-2.61
Zn  0.6667  0.3333  0.2500  5 Ti 2.58-2.61



Entry 3:
# BaTa4Pt

An optimized crystal structure of BaTa4Pt (PBE, Alexandria via LeMat-Bulk).

Calculated values
Calculated total energy in eV/cell: -51.22
DFT formation energy in eV/atom: 0.69
Fermi-level density of states in states/eV/cell: 6.66
Total magnetic moment in μB/atom: 0.0000

Cell: 5.6565 5.6565 5.6565 Å, 60.00 60.00 60.00°
With the nearest neighbours (Å) after each atom.
Fractional positions:
Ba  0.7500  0.7500  0.7500  12 Ta 3.31, 4 Pt 3.46
Ta  0.8729  0.3757  0.3757  6 Ta 2.81-2.84
Ta  0.3757  0.3757  0.8729  6 Ta 2.81-2.84
Ta  0.3757  0.8729  0.3757  6 Ta 2.81-2.84
Ta  0.3757  0.3757  0.3757  6 Ta 2.81-2.84
Pt  0.0000  0.0000  0.0000  12 Ta 3.32, 4 Ba 3.46